DFT (GGA-PBE) results for PmHo3Sc4 after structural relaxation.

Cell lengths 10.8069, 6.9664, 6.0054 Å; angles 90.00, 90.00, 90.00 degrees
Last column: nearest neighbours and their distance in Å.
Space group Pmn2_1 (No. 31)
Inequivalent atoms, fractional coordinates:
Pm 0.0000 0.1340 0.0000  6 Sc 3.36-3.61, 6 Ho 3.40-3.54
Ho 0.0000 0.8659 0.4984  6 Sc 3.34-3.62, 4 Ho 3.40-3.42, 2 Pm 3.53-3.54
Ho 0.2505 0.1348 0.3437  6 Sc 3.35-3.61, 4 Ho 3.40-3.54, 2 Pm 3.40-3.41
Sc 0.0000 0.3849 0.5081  6 Sc 3.30-3.41, 4 Ho 3.35-3.62, 2 Pm 3.43-3.52
Sc 0.0000 0.6159 0.0080  6 Sc 3.33-3.41, 4 Ho 3.36-3.52, 2 Pm 3.36-3.61
Sc 0.2482 0.6161 0.3355  6 Sc 3.30-3.41, 5 Ho 3.34-3.61, 1 Pm 3.38

Output
The density is 6.02 g/cm3. The calculation puts the energy at -5.4438 eV/atom.